Entry from the Alexandria database: crystalline KAu2Br at its relaxed geometry (PBE).

a = 2.9506 Å, b = 2.9506 Å, c = 11.4688 Å
α = 90.00°, β = 90.00°, γ = 90.00°
Atoms (fractional coordinates):
K1 0.0000 0.0000 0.0000
Au1 0.5000 0.5000 0.2238
Au2 0.5000 0.5000 0.7762
Br1 0.0000 0.0000 0.5000

Computed properties:
* energy above the most stable polymorph in this dataset: 243 kJ/mol of formula units
* formation energy (no corrections): 0.69 eV/f.u.
* SG: P4/mmm, No. 123
* calculated density: 8.5 g cm⁻³


Entry from the Alexandria database: crystalline ScMnAg at its relaxed geometry (PBE).

a = 6.4063 Å, b = 6.4063 Å, c = 6.4063 Å
α = 90.00°, β = 90.00°, γ = 90.00°
Atoms (fractional coordinates):
Sc1 0.0000 0.0000 0.0000
Sc2 0.0000 0.5000 0.5000
Sc3 0.5000 0.0000 0.5000
Sc4 0.5000 0.5000 0.0000
Mn1 0.2500 0.2500 0.2500
Mn2 0.2500 0.7500 0.7500
Mn3 0.7500 0.2500 0.7500
Mn4 0.7500 0.7500 0.2500
Ag1 0.2500 0.2500 0.7500
Ag2 0.2500 0.7500 0.2500
Ag3 0.7500 0.2500 0.2500
Ag4 0.7500 0.7500 0.7500

Computed properties:
* ΔE_f: 0.655 eV/atom
* energy above the most stable polymorph in this dataset: 177 kJ/mol of formula units
* SG: F-43m, No. 216
* calculated density: 5.2 g cm⁻³


Entry from the Alexandria database: crystalline TcOsBr2 at its relaxed geometry (PBE).

a = 5.9134 Å, b = 8.8509 Å, c = 3.1202 Å
α = 90.00°, β = 117.60°, γ = 90.00°
Atoms (fractional coordinates):
Tc1 0.0000 0.0000 0.0000
Tc2 0.5000 0.5000 0.0000
Os1 0.0000 0.5000 0.0000
Os2 0.5000 0.0000 0.0000
Br1 0.2500 0.2500 0.0000
Br2 0.2500 0.7500 0.0000
Br3 0.7500 0.2500 0.0000
Br4 0.7500 0.7500 0.0000

Computed properties:
* energy above the most stable polymorph in this dataset: 402 kJ/mol of formula units
* formation energy (no corrections): 5.29 eV/f.u.
* SG: C2/m, No. 12
* calculated density: 10.3 g cm⁻³


Entry from the Alexandria database: crystalline Mg6Bi at its relaxed geometry (PBE).

a = 7.9685 Å, b = 7.9685 Å, c = 7.9685 Å
α = 90.00°, β = 90.00°, γ = 90.00°
Atoms (fractional coordinates):
Mg1 0.0000 0.2500 0.5000
Mg2 0.0000 0.5000 0.2500
Mg3 0.0000 0.5000 0.7500
Mg4 0.0000 0.7500 0.5000
Mg5 0.2500 0.0000 0.5000
Mg6 0.2500 0.5000 0.0000
Mg7 0.5000 0.0000 0.2500
Mg8 0.5000 0.0000 0.7500
Mg9 0.5000 0.2500 0.0000
Mg10 0.5000 0.7500 0.0000
Mg11 0.7500 0.0000 0.5000
Mg12 0.7500 0.5000 0.0000
Bi1 0.0000 0.0000 0.0000
Bi2 0.5000 0.5000 0.5000

Computed properties:
* ΔE_f: 0.785 eV/atom
* SG: Im-3m, No. 229
* calculated density: 2.3 g cm⁻³